Model 1:
## Ca2InBr (SCAN)

Data for a crystal of Ca2InBr relaxed with PBEsol.

abc: 4.0127 4.0159 8.6407
angles: 103.44 90.00 119.97
Last column: nearest neighbours and their distance in Å.
Atoms (fractional coordinates):
Ca  0.7513  0.5026  0.7531  3 Br 3.10, 3 In 3.13
Ca  0.2487  0.4974  0.2469  3 Br 3.10, 3 In 3.13
Br  0.5000  0.0000  0.0000  6 Ca 3.10
In  0.0000  0.0000  0.5000  6 Ca 3.13

Computed properties:
**Space group**: R-3m
**Crystal system**: trigonal
**Density of states at the Fermi level**: 0.331 states/eV per atom


Model 2:
## Ca2InBr (SCAN)

Data for a crystal of Ca2InBr relaxed with PBEsol.

abc: 3.6740 3.8463 8.4787
angles: 90.06 90.00 90.00
Last column: nearest neighbours and their distance in Å.
Atoms (fractional coordinates):
Ca  0.0000  0.5005  0.7254  2 Br 2.97, 4 In 3.27-3.28
Ca  0.0000  0.4995  0.2746  2 Br 2.97, 4 In 3.27-3.28
Br  0.5000  0.5000  0.0000  4 Ca 2.97
In  0.5000  0.0000  0.5000  8 Ca 3.27-3.28

Computed properties:
**Space group**: P2/m
**Crystal system**: monoclinic
**Density of states at the Fermi level**: 0.261 states/eV per atom


Stability, lowest: model 1


Model 1:
## CaIrBr2 (SCAN)

Data for a crystal of CaIrBr2 relaxed with PBEsol.

abc: 3.7735 4.1112 6.9079
angles: 107.32 90.00 90.00
Last column: nearest neighbours and their distance in Å.
Atoms (fractional coordinates):
Ca  0.0000  0.4619  0.5487  4 Ir 2.96, 6 Br 3.16-3.25
Ir  0.5000  0.0361  0.6970  3 Br 2.43-2.46
Br  0.0000  0.1526  0.9301  2 Ir 2.43
Br  0.5000  0.8494  0.3241  1 Ir 2.46

Computed properties:
**Space group**: Amm2
**Crystal system**: orthorhombic
**Density of states at the Fermi level**: 0.257 states/eV per atom


Model 2:
## CaIrBr2 (SCAN)

Data for a crystal of CaIrBr2 relaxed with PBEsol.

abc: 3.7849 3.7849 6.8344
angles: 90.00 90.00 112.74
Last column: nearest neighbours and their distance in Å.
Atoms (fractional coordinates):
Ca  0.5000  0.5000  0.5000  4 Br 2.80
Ir  0.5000  0.5000  0.0000  4 Br 2.61
Br  0.0000  0.0000  0.2276  2 Ir 2.61, 2 Ca 2.80
Br  0.0000  0.0000  0.7724  2 Ir 2.61, 2 Ca 2.80

Computed properties:
**Space group**: Cmmm
**Crystal system**: orthorhombic
**Density of states at the Fermi level**: 0.366 states/eV per atom


Model 3:
## CaIrBr2 (SCAN)

Data for a crystal of CaIrBr2 relaxed with PBEsol.

abc: 3.7939 3.7939 6.1722
angles: 90.00 90.00 90.00
Last column: nearest neighbours and their distance in Å.
Atoms (fractional coordinates):
Ca  0.0000  0.0000  0.4941  5 Br 2.75-2.86, 4 Ir 3.06
Ir  0.5000  0.5000  0.7341  1 Br 2.48
Br  0.0000  0.0000  0.9395  1 Ca 2.75, 4 Ir 2.97
Br  0.5000  0.5000  0.3323  1 Ir 2.48

Computed properties:
**Space group**: P4mm
**Crystal system**: tetragonal
**Density of states at the Fermi level**: 0.358 states/eV per atom


Stability, lowest: model 2


Model 1:
## KCa2Br (SCAN)

Data for a crystal of KCa2Br relaxed with PBEsol.

abc: 3.8748 3.8748 11.0136
angles: 90.00 90.00 112.26
Last column: nearest neighbours and their distance in Å.
Atoms (fractional coordinates):
Br  0.5000  0.5000  0.2311  2 Ca 2.99, 2 K 3.26
Ca  0.0000  0.0000  0.0434  2 Br 2.99
Ca  0.5000  0.5000  0.7732  6 Ca 3.68-3.87
K  0.0000  0.0000  0.4522  2 Br 3.26

Computed properties:
**Space group**: Cmm2
**Crystal system**: orthorhombic
**Density of states at the Fermi level**: 0.603 states/eV per atom


Model 2:
## KCa2Br (SCAN)

Data for a crystal of KCa2Br relaxed with PBEsol.

abc: 3.8062 6.3066 7.3393
angles: 115.45 105.03 90.00
Last column: nearest neighbours and their distance in Å.
Atoms (fractional coordinates):
Br  0.0000  0.5000  0.0000  4 Ca 3.15
Ca  0.6974  0.6974  0.3948  2 Br 3.15
Ca  0.3026  0.3026  0.6052  2 Br 3.15
K  0.5000  0.0000  0.0000  4 Br 3.68, 2 K 3.81, 4 Ca 4.03

Computed properties:
**Space group**: Immm
**Crystal system**: orthorhombic
**Density of states at the Fermi level**: 0.502 states/eV per atom


Stability, lowest: model 2


Model 1:
## LiCaBr2 (SCAN)

Data for a crystal of LiCaBr2 relaxed with PBEsol.

abc: 3.8476 5.4653 5.4653
angles: 69.27 69.39 69.39
Last column: nearest neighbours and their distance in Å.
Atoms (fractional coordinates):
Br  0.2820  0.7180  0.7180  2 Li 2.62
Br  0.7180  0.2820  0.2820  2 Li 2.62
Ca  0.5000  0.0000  0.0000  4 Br 2.99
Li  0.0000  0.5000  0.5000  4 Br 2.62

Computed properties:
**Space group**: Immm
**Crystal system**: orthorhombic
**Density of states at the Fermi level**: 0.338 states/eV per atom


Model 2:
## LiCaBr2 (SCAN)

Data for a crystal of LiCaBr2 relaxed with PBEsol.

abc: 4.0317 5.8779 5.7122
angles: 118.02 90.00 90.00
Last column: nearest neighbours and their distance in Å.
Atoms (fractional coordinates):
Br  0.0000  0.8878  0.9390  2 Li 2.58, 2 Ca 2.88
Br  0.5000  0.5710  0.2835  2 Li 2.77-2.94, 2 Ca 2.86
Ca  0.0000  0.9628  0.4750  4 Br 2.86-2.88
Li  0.5000  0.5783  0.8025  3 Br 2.58-2.77

Computed properties:
**Space group**: Pm
**Crystal system**: monoclinic
**Density of states at the Fermi level**: 0.155 states/eV per atom


Stability, lowest: model 1


Model 1:
## Ca2MgBr (SCAN)

Data for a crystal of Ca2MgBr relaxed with PBEsol.

abc: 3.7296 4.0349 8.6416
angles: 89.92 90.00 90.00
Last column: nearest neighbours and their distance in Å.
Atoms (fractional coordinates):
Br  0.5000  0.5000  0.0000  4 Ca 2.98
Ca  0.0000  0.4992  0.7316  2 Br 2.98
Ca  0.0000  0.5008  0.2684  2 Br 2.98
Mg  0.5000  0.0000  0.5000  8 Ca 3.40, 2 Mg 3.73

Computed properties:
**Space group**: P2/m
**Crystal system**: monoclinic
**Density of states at the Fermi level**: 0.609 states/eV per atom


Model 2:
## Ca2MgBr (SCAN)

Data for a crystal of Ca2MgBr relaxed with PBEsol.

abc: 5.0896 5.0896 5.8897
angles: 115.60 115.60 90.00
Last column: nearest neighbours and their distance in Å.
Atoms (fractional coordinates):
Br  0.0000  0.0000  0.0000  8 Ca 3.45, 4 Mg 3.60
Ca  0.7500  0.2500  0.5000  4 Br 3.45, 4 Mg 3.45, 4 Ca 3.60
Ca  0.2500  0.7500  0.5000  4 Br 3.45, 4 Mg 3.45, 4 Ca 3.60
Mg  0.5000  0.5000  0.0000  8 Ca 3.45, 4 Br 3.60

Computed properties:
**Space group**: I4/mmm
**Crystal system**: tetragonal
**Density of states at the Fermi level**: 0.626 states/eV per atom


Model 3:
## Ca2MgBr (SCAN)

Data for a crystal of Ca2MgBr relaxed with PBEsol.

abc: 5.7155 5.7155 5.7155
angles: 60.00 60.00 60.00
Last column: nearest neighbours and their distance in Å.
Atoms (fractional coordinates):
Br  0.5000  0.5000  0.5000  4 Mg 3.50, 4 Ca 3.50
Ca  0.0000  0.0000  0.0000  4 Ca 3.50, 4 Mg 3.50
Ca  0.7500  0.7500  0.7500  4 Br 3.50, 4 Ca 3.50
Mg  0.2500  0.2500  0.2500  4 Ca 3.50, 4 Br 3.50

Computed properties:
**Space group**: F-43m
**Crystal system**: cubic
**Density of states at the Fermi level**: 0.901 states/eV per atom


Stability, lowest: model 3


Model 1:
## CaMn2Br (SCAN)

Data for a crystal of CaMn2Br relaxed with PBEsol.

abc: 3.3448 4.4997 5.7152
angles: 90.00 90.00 90.00
Last column: nearest neighbours and their distance in Å.
Atoms (fractional coordinates):
Ca  0.0000  0.5000  0.5000  4 Br 2.80
Mn  0.0000  0.0000  0.0000  4 Mn 2.80
Mn  0.5000  0.5000  0.0000  4 Mn 2.80
Br  0.5000  0.0000  0.5000  4 Ca 2.80

Computed properties:
**Space group**: Pmmm
**Crystal system**: orthorhombic
**Density of states at the Fermi level**: 0.505 states/eV per atom


Model 2:
## CaMn2Br (SCAN)

Data for a crystal of CaMn2Br relaxed with PBEsol.

abc: 3.6503 4.1686 5.5849
angles: 90.00 90.00 90.00
Last column: nearest neighbours and their distance in Å.
Atoms (fractional coordinates):
Ca  0.5000  0.5000  0.5000  2 Br 2.79, 8 Mn 3.08
Mn  0.0000  0.0000  0.7430  2 Mn 2.71-2.87
Mn  0.0000  0.0000  0.2570  2 Mn 2.71-2.87
Br  0.5000  0.5000  0.0000  2 Ca 2.79, 8 Mn 3.12

Computed properties:
**Space group**: Pmmm
**Crystal system**: orthorhombic
**Density of states at the Fermi level**: 0.719 states/eV per atom


Model 3:
## CaMn2Br (SCAN)

Data for a crystal of CaMn2Br relaxed with PBEsol.

abc: 3.4062 3.5856 7.1979
angles: 104.42 90.00 90.00
Last column: nearest neighbours and their distance in Å.
Atoms (fractional coordinates):
Ca  0.5000  0.6902  0.3805  4 Br 2.96, 5 Mn 3.01-3.18
Mn  0.0000  0.0467  0.0934  4 Mn 2.67
Mn  0.5000  0.4743  0.9486  4 Mn 2.67, 2 Br 2.88
Br  0.0000  0.3075  0.6150  2 Mn 2.88, 4 Ca 2.96

Computed properties:
**Space group**: Amm2
**Crystal system**: orthorhombic
**Density of states at the Fermi level**: 0.549 states/eV per atom


Stability, lowest: model 2


Model 1:
## CaMnBr2 (SCAN)

Data for a crystal of CaMnBr2 relaxed with PBEsol.

abc: 4.0314 4.0314 6.5956
angles: 107.80 107.80 90.00
Last column: nearest neighbours and their distance in Å.
Atoms (fractional coordinates):
Ca  0.5000  0.5000  0.0000  4 Br 2.85
Mn  0.2500  0.7500  0.5000  4 Br 2.85
Br  0.0000  0.0000  0.0000  4 Ca 2.85
Br  0.7500  0.2500  0.5000  4 Mn 2.85

Computed properties:
**Space group**: I-4m2
**Crystal system**: tetragonal
**Density of states at the Fermi level**: 0.366 states/eV per atom


Model 2:
## CaMnBr2 (SCAN)

Data for a crystal of CaMnBr2 relaxed with PBEsol.

abc: 5.0721 5.0681 5.0721
angles: 59.97 90.00 120.03
Last column: nearest neighbours and their distance in Å.
Atoms (fractional coordinates):
Ca  0.5000  0.0000  0.5000  8 Br 3.10
Mn  0.0000  0.0000  0.0000  8 Br 3.10
Br  0.2500  0.5000  0.2500  4 Mn 3.10, 4 Ca 3.10
Br  0.7500  0.5000  0.7500  4 Mn 3.10, 4 Ca 3.10

Computed properties:
**Space group**: I4/mmm
**Crystal system**: tetragonal
**Density of states at the Fermi level**: 0.694 states/eV per atom


Stability, lowest: model 1


Model 1:
## Ca2MnBr (SCAN)

Data for a crystal of Ca2MnBr relaxed with PBEsol.

abc: 3.4504 5.4400 5.4400
angles: 90.00 90.00 90.00
Last column: nearest neighbours and their distance in Å.
Atoms (fractional coordinates):
Ca  0.0000  0.0000  0.5000  4 Br 3.22, 4 Mn 3.22, 2 Ca 3.45
Ca  0.0000  0.5000  0.0000  4 Mn 3.22, 4 Br 3.22, 2 Ca 3.45
Mn  0.5000  0.5000  0.5000  8 Ca 3.22, 2 Mn 3.45
Br  0.5000  0.0000  0.0000  8 Ca 3.22, 2 Br 3.45

Computed properties:
**Space group**: P4/mmm
**Crystal system**: tetragonal
**Density of states at the Fermi level**: 0.842 states/eV per atom


Model 2:
## Ca2MnBr (SCAN)

Data for a crystal of Ca2MnBr relaxed with PBEsol.

abc: 3.6284 4.9547 6.0660
angles: 96.63 107.40 90.00
Last column: nearest neighbours and their distance in Å.
Atoms (fractional coordinates):
Ca  0.9847  0.1529  0.9694  4 Mn 3.09-3.14, 3 Br 3.10-3.28
Ca  0.2686  0.6070  0.5372  3 Mn 3.02-3.33, 4 Br 3.09-3.18
Mn  0.5313  0.6594  0.0626  1 Br 2.80, 3 Ca 3.02-3.09
Br  0.7154  0.0806  0.4307  1 Mn 2.80, 3 Ca 3.09-3.10

Computed properties:
**Space group**: Cm
**Crystal system**: monoclinic
**Density of states at the Fermi level**: 0.484 states/eV per atom


Stability, lowest: model 1